[1]
Compound: CdIn2Sn
Source: Alexandria via LeMat-Bulk
Functional: PBE
Structure: optimized geometry Values from VASP.

Raw total energy   -2.561 eV per atom
ΔH_f (0 K)   4 kJ per mole of atoms
Offset from the most stable computed form   14 meV/atom
Magnetic moment   0.00 μB/cell

```
&SYSTEM
  ibrav = 0, nat = 4, ntyp = 3
/
ATOMIC_SPECIES
In 114.82 In.upf
Cd 112.41 Cd.upf
Sn 118.71 Sn.upf
CELL_PARAMETERS angstrom
5.335 0.000 0.000
2.667 4.620 0.000
2.667 1.540 4.356
ATOMIC_POSITIONS crystal
In 0.250 0.250 0.250
In 0.750 0.750 0.750
Cd 0.500 0.500 0.500
Sn 0.000 0.000 0.000
```

---

[2]
Compound: Cd4In15Sn
Source: Alexandria via LeMat-Bulk
Functional: PBE
Structure: optimized geometry Values from VASP.

Raw total energy   -2.416 eV per atom
ΔH_f (0 K)   2 kJ per mole of atoms
Magnetic moment   0.00 μB/cell

```
&SYSTEM
  ibrav = 0, nat = 20, ntyp = 3
/
ATOMIC_SPECIES
In 114.82 In.upf
Cd 112.41 Cd.upf
Sn 118.71 Sn.upf
CELL_PARAMETERS angstrom
-4.042 2.068 1.094
-1.724 -4.109 1.399
8.155 4.160 22.269
ATOMIC_POSITIONS crystal
In 0.500 0.500 0.600
In 0.500 0.000 0.897
In 0.000 0.500 0.699
In 0.500 0.000 0.699
In 0.500 0.500 0.000
In 0.500 0.000 0.500
In 0.000 0.500 0.301
In 0.500 0.500 0.797
In 0.000 0.500 0.897
In 0.500 0.500 0.203
In 0.500 0.000 0.103
In 0.500 0.500 0.400
In 0.000 0.500 0.103
In 0.000 0.500 0.500
In 0.500 0.000 0.301
Cd 0.000 0.000 0.202
Cd 0.000 0.000 0.600
Cd 0.000 0.000 0.798
Cd 0.000 0.000 0.400
Sn 0.000 0.000 0.000
```

---

[3]
Compound: Cd3In6Sn2
Source: Alexandria via LeMat-Bulk
Functional: PBE
Structure: optimized geometry Values from VASP.

Raw total energy   -2.443 eV per atom
ΔH_f (0 K)   3 kJ per mole of atoms
Magnetic moment   0.00 μB/cell

```
&SYSTEM
  ibrav = 0, nat = 11, ntyp = 3
/
ATOMIC_SPECIES
In 114.82 In.upf
Cd 112.41 Cd.upf
Sn 118.71 Sn.upf
CELL_PARAMETERS angstrom
3.391 0.000 0.208
1.689 2.940 0.208
-0.065 -0.038 28.803
ATOMIC_POSITIONS crystal
In 0.362 0.362 0.914
In 0.913 0.913 0.261
In 0.183 0.183 0.452
In 0.087 0.087 0.739
In 0.638 0.638 0.086
In 0.817 0.817 0.548
Cd 0.724 0.724 0.827
Cd 0.276 0.276 0.173
Cd 0.000 0.000 0.000
Sn 0.548 0.548 0.355
Sn 0.452 0.452 0.645
```

---

[4]
Compound: Cd2In5Sn
Source: Alexandria via LeMat-Bulk
Functional: PBE
Structure: optimized geometry Values from VASP.

Raw total energy   -2.407 eV per atom
ΔH_f (0 K)   3 kJ per mole of atoms
Magnetic moment   0.00 μB/cell

```
&SYSTEM
  ibrav = 0, nat = 8, ntyp = 3
/
ATOMIC_SPECIES
In 114.82 In.upf
Cd 112.41 Cd.upf
Sn 118.71 Sn.upf
CELL_PARAMETERS angstrom
4.430 0.000 -0.859
-0.167 4.427 -0.859
-0.208 -0.216 10.780
ATOMIC_POSITIONS crystal
In 0.500 0.500 0.000
In 0.629 0.129 0.258
In 0.129 0.629 0.258
In 0.371 0.871 0.742
In 0.871 0.371 0.742
Cd 0.251 0.251 0.501
Cd 0.749 0.749 0.499
Sn 0.000 0.000 0.000
```

---

[5]
Compound: Cd8In2Sn
Source: Alexandria via LeMat-Bulk
Functional: PBE
Structure: optimized geometry Values from VASP.

Raw total energy   -1.424 eV per atom
ΔH_f (0 K)   10 kJ per mole of atoms
Offset from the most stable computed form   9 meV/atom
Magnetic moment   0.00 μB/cell

```
&SYSTEM
  ibrav = 0, nat = 11, ntyp = 3
/
ATOMIC_SPECIES
Sn 118.71 Sn.upf
Cd 112.41 Cd.upf
In 114.82 In.upf
CELL_PARAMETERS angstrom
5.242 0.764 -0.129
-0.869 7.253 -5.836
0.792 -1.613 9.175
ATOMIC_POSITIONS crystal
Sn 0.500 0.000 0.000
Cd 0.500 0.339 0.661
Cd 0.134 0.085 0.306
Cd 0.500 0.661 0.339
Cd 0.244 0.594 0.594
Cd 0.134 0.306 0.085
Cd 0.756 0.406 0.406
Cd 0.866 0.915 0.694
Cd 0.866 0.694 0.915
In 0.000 0.258 0.742
In 0.000 0.742 0.258
```

---

[6]
Compound: CdIn2Sn
Source: Alexandria via LeMat-Bulk
Functional: PBE
Structure: optimized geometry Values from VASP.

Raw total energy   -2.181 eV per atom
ΔH_f (0 K)   40 kJ per mole of atoms
Offset from the most stable computed form   395 meV/atom
Magnetic moment   0.00 μB/cell

```
&SYSTEM
  ibrav = 0, nat = 8, ntyp = 3
/
ATOMIC_SPECIES
Sn 118.71 Sn.upf
In 114.82 In.upf
Cd 112.41 Cd.upf
CELL_PARAMETERS angstrom
-1.884 4.093 2.002
-1.358 -4.425 1.698
10.676 0.325 9.386
ATOMIC_POSITIONS crystal
Sn 0.667 0.333 0.750
Sn 0.333 0.667 0.250
In 0.667 0.333 0.549
In 0.667 0.333 0.951
In 0.333 0.667 0.049
In 0.333 0.667 0.451
Cd 0.000 0.000 0.000
Cd 0.000 0.000 0.500
```